No. 1
{
  "formula": "NaScGePd",
  "functional": "GGA-PBE",
  "state": "relaxed",
  "cell": [[6.5110, 0.0000, 0.0000], [0.0000, 6.5110, 0.0000], [0.0000, 0.0000, 6.5110]],
  "species": ["Na", "Na", "Na", "Na", "Sc", "Sc", "Sc", "Sc", "Ge", "Ge", "Ge", "Ge", "Pd", "Pd", "Pd", "Pd"],
  "frac_coords": [[0.0000, 0.0000, 0.0000], [0.0000, 0.5000, 0.5000], [0.5000, 0.0000, 0.5000], [0.5000, 0.5000, 0.0000], [0.2500, 0.2500, 0.2500], [0.2500, 0.7500, 0.7500], [0.7500, 0.2500, 0.7500], [0.7500, 0.7500, 0.2500], [0.2500, 0.2500, 0.7500], [0.2500, 0.7500, 0.2500], [0.7500, 0.2500, 0.2500], [0.7500, 0.7500, 0.7500], [0.0000, 0.0000, 0.5000], [0.0000, 0.5000, 0.0000], [0.5000, 0.0000, 0.0000], [0.5000, 0.5000, 0.5000]],
  "formation_enthalpy_0k_ev_per_atom": -0.450,
  "space_group": "F-43m (216)"
}

=====

No. 2
{
  "formula": "Nd2MgGe3Pt4",
  "functional": "GGA-PBE",
  "state": "relaxed",
  "cell": [[4.3478, 0.0000, 0.0000], [0.0000, 4.3478, 0.0000], [0.0000, 0.0000, 10.3996]],
  "species": ["Nd", "Nd", "Mg", "Ge", "Ge", "Ge", "Pt", "Pt", "Pt", "Pt"],
  "frac_coords": [[0.0000, 0.5000, 0.2444], [0.5000, 0.0000, 0.7556], [0.0000, 0.0000, 0.5000], [0.0000, 0.5000, 0.8717], [0.5000, 0.0000, 0.1283], [0.5000, 0.5000, 0.5000], [0.0000, 0.0000, 0.0000], [0.0000, 0.5000, 0.6366], [0.5000, 0.0000, 0.3634], [0.5000, 0.5000, 0.0000]],
  "formation_enthalpy_0k_ev_per_atom": -0.935,
  "space_group": "P-4m2 (115)"
}

=====

No. 3
{
  "formula": "Ba2Tl2W",
  "functional": "GGA-PBE",
  "state": "relaxed",
  "cell": [[7.7289, 0.0000, 0.0000], [0.0000, 7.7289, 0.0000], [0.0000, 0.0000, 5.6724]],
  "species": ["Ba", "Ba", "Ba", "Ba", "Tl", "Tl", "Tl", "Tl", "W", "W"],
  "frac_coords": [[0.1714, 0.3286, 0.0000], [0.3286, 0.8286, 0.0000], [0.6714, 0.1714, 0.0000], [0.8286, 0.6714, 0.0000], [0.1557, 0.6557, 0.5000], [0.3443, 0.1557, 0.5000], [0.6557, 0.8443, 0.5000], [0.8443, 0.3443, 0.5000], [0.0000, 0.0000, 0.5000], [0.5000, 0.5000, 0.5000]],
  "formation_enthalpy_0k_ev_per_atom": 0.589,
  "relative_energy_ev_per_fu": 0.00,
  "space_group": "P4/mbm (127)"
}

=====

No. 4
{
  "formula": "CaTc3Ni",
  "functional": "GGA-PBE",
  "state": "relaxed",
  "cell": [[4.5048, 0.0000, 0.0000], [0.0000, 4.5048, 0.0000], [0.0000, 0.0000, 4.5048]],
  "species": ["Ca", "Tc", "Tc", "Tc", "Ni"],
  "frac_coords": [[0.0000, 0.0000, 0.0000], [0.0000, 0.0000, 0.5000], [0.0000, 0.5000, 0.0000], [0.5000, 0.0000, 0.0000], [0.5000, 0.5000, 0.5000]],
  "formation_enthalpy_0k_ev_per_atom": 2.746,
  "relative_energy_ev_per_fu": 7.76,
  "space_group": "Pm-3m (221)"
}

=====

No. 5
{
  "formula": "Ac2PrSm5Ho",
  "functional": "GGA-PBE",
  "state": "relaxed",
  "cell": [[2.9235, -10.2469, 0.0000], [2.9235, 10.2469, 0.0000], [0.0000, 0.0000, 10.9649]],
  "species": ["Ac", "Ac", "Ac", "Ac", "Pr", "Pr", "Sm", "Sm", "Sm", "Sm", "Sm", "Sm", "Sm", "Sm", "Sm", "Sm", "Ho", "Ho"],
  "frac_coords": [[0.1139, 0.8861, 0.5000], [0.1166, 0.8834, 0.0876], [0.8834, 0.1166, 0.5876], [0.8861, 0.1139, 0.0000], [0.4119, 0.5881, 0.2326], [0.5881, 0.4119, 0.7326], [0.0189, 0.9811, 0.7917], [0.2821, 0.7179, 0.0816], [0.2961, 0.7039, 0.4750], [0.3870, 0.6130, 0.7890], [0.4826, 0.5174, 0.5099], [0.5174, 0.4826, 0.0099], [0.6130, 0.3870, 0.2890], [0.7039, 0.2961, 0.9750], [0.7179, 0.2821, 0.5816], [0.9811, 0.0189, 0.2917], [0.2056, 0.7944, 0.7798], [0.7944, 0.2056, 0.2798]],
  "formation_enthalpy_0k_ev_per_atom": 0.144,
  "space_group": "Cmc2_1 (36)"
}

=====

No. 6
{
  "formula": "K2Er2TiSe6",
  "functional": "GGA-PBE",
  "state": "relaxed",
  "cell": [[3.4714, -5.9538, 0.0000], [3.4714, 5.9538, 0.0000], [-2.4131, 0.0000, 7.8504]],
  "species": ["K", "K", "Er", "Er", "Ti", "Se", "Se", "Se", "Se", "Se", "Se"],
  "frac_coords": [[0.1718, 0.8282, 0.0000], [0.8282, 0.1718, 0.0000], [0.3326, 0.6674, 0.5000], [0.6674, 0.3326, 0.5000], [0.0000, 0.0000, 0.5000], [0.0701, 0.3785, 0.6959], [0.2409, 0.2409, 0.3067], [0.3785, 0.0701, 0.6959], [0.6215, 0.9299, 0.3041], [0.7591, 0.7591, 0.6933], [0.9299, 0.6215, 0.3041]],
  "raw_formation_energy_ev_per_atom": -1.545,
  "space_group": "C2/m (12)"
}

=====

No. 7
{
  "formula": "TmZrCS",
  "functional": "GGA-PBE",
  "state": "relaxed",
  "cell": [[3.5008, 0.0000, 0.0000], [-1.7504, 3.0318, 0.0000], [0.0000, 0.0000, 18.9449]],
  "species": ["Tm", "Tm", "Tm", "Zr", "Zr", "Zr", "C", "C", "C", "S", "S", "S"],
  "frac_coords": [[0.0000, 0.0000, 0.0000], [0.3333, 0.6667, 0.6667], [0.6667, 0.3333, 0.3333], [0.0000, 0.0000, 0.1971], [0.3333, 0.6667, 0.8637], [0.6667, 0.3333, 0.5304], [0.0000, 0.0000, 0.5911], [0.3333, 0.6667, 0.2577], [0.6667, 0.3333, 0.9244], [0.0000, 0.0000, 0.7683], [0.3333, 0.6667, 0.4350], [0.6667, 0.3333, 0.1016]],
  "raw_formation_energy_ev_per_atom": -1.268,
  "space_group": "R3m (160)"
}

=====

No. 8
{
  "formula": "YCd2Re",
  "functional": "GGA-PBE",
  "state": "relaxed",
  "cell": [[3.6896, 0.0000, 0.0000], [0.0000, 4.7711, 0.0000], [0.0000, 0.0000, 9.5524]],
  "species": ["Y", "Y", "Cd", "Cd", "Cd", "Cd", "Re", "Re"],
  "frac_coords": [[0.0000, 0.0000, 0.0000], [0.5000, 0.5000, 0.0000], [0.0000, 0.0000, 0.4590], [0.0000, 0.5000, 0.7175], [0.5000, 0.0000, 0.7175], [0.5000, 0.5000, 0.4590], [0.0000, 0.5000, 0.2282], [0.5000, 0.0000, 0.2282]],
  "formation_enthalpy_0k_ev_per_atom": 0.332,
  "relative_energy_ev_per_fu": 0.37,
  "space_group": "Cmm2 (35)"
}

=====

No. 9
{
  "formula": "TmH3Ir",
  "functional": "GGA-PBE",
  "state": "relaxed",
  "cell": [[3.6480, 0.0000, 0.0000], [0.0000, 3.6480, 0.0000], [0.0000, 0.0000, 3.6480]],
  "species": ["Tm", "H", "H", "H", "Ir"],
  "frac_coords": [[0.0000, 0.0000, 0.0000], [0.0000, 0.5000, 0.5000], [0.5000, 0.0000, 0.5000], [0.5000, 0.5000, 0.0000], [0.5000, 0.5000, 0.5000]],
  "final_energy_ev_per_atom": -5.1538,
  "space_group": "Pm-3m (221)"
}

=====

No. 10
{
  "formula": "B2Ru2Pt",
  "functional": "GGA-PBE",
  "state": "relaxed",
  "cell": [[3.8340, 0.0000, 0.0000], [0.0000, 3.8340, 0.0000], [0.0000, 0.0000, 8.2689]],
  "species": ["B", "B", "B", "B", "Ru", "Ru", "Ru", "Ru", "Pt", "Pt"],
  "frac_coords": [[0.0000, 0.5000, 0.2500], [0.0000, 0.5000, 0.7500], [0.5000, 0.0000, 0.2500], [0.5000, 0.0000, 0.7500], [0.0000, 0.0000, 0.1512], [0.0000, 0.0000, 0.8488], [0.5000, 0.5000, 0.3488], [0.5000, 0.5000, 0.6512], [0.0000, 0.0000, 0.5000], [0.5000, 0.5000, 0.0000]],
  "formation_enthalpy_0k_ev_per_atom": 0.257,
  "relative_energy_ev_per_fu": 1.17,
  "space_group": "I4/mmm (139)"
}

=====

No. 11
{
  "formula": "BaTm4",
  "functional": "GGA-PBE",
  "state": "relaxed",
  "cell": [[5.6337, 0.0000, 0.0000], [0.0000, 5.6337, 0.0000], [0.0000, 0.0000, 5.6337]],
  "species": ["Ba", "Tm", "Tm", "Tm", "Tm"],
  "frac_coords": [[0.0000, 0.0000, 0.0000], [0.0000, 0.0000, 0.5000], [0.0000, 0.5000, 0.0000], [0.5000, 0.0000, 0.0000], [0.5000, 0.5000, 0.5000]],
  "formation_enthalpy_0k_ev_per_atom": 1.014,
  "space_group": "Pm-3m (221)"
}

=====

No. 12
{
  "formula": "Pr8Hg2Sb",
  "functional": "GGA-PBE",
  "state": "relaxed",
  "cell": [[9.6547, -2.6547, 0.0000], [9.6547, 2.6547, 0.0000], [-1.2663, 0.0000, 7.1421]],
  "species": ["Pr", "Pr", "Pr", "Pr", "Pr", "Pr", "Pr", "Pr", "Hg", "Hg", "Sb"],
  "frac_coords": [[0.0246, 0.0246, 0.2578], [0.2043, 0.2043, 0.8218], [0.3367, 0.3367, 0.5262], [0.4088, 0.4088, 0.0488], [0.5912, 0.5912, 0.9512], [0.6633, 0.6633, 0.4738], [0.7957, 0.7957, 0.1782], [0.9754, 0.9754, 0.7422], [0.1888, 0.1888, 0.2401], [0.8112, 0.8112, 0.7599], [0.5000, 0.5000, 0.5000]],
  "raw_formation_energy_ev_per_atom": -0.315,
  "space_group": "C2/m (12)"
}

=====

What did the eighth record say?
{
  "formula": "YCd2Re",
  "functional": "GGA-PBE",
  "state": "relaxed",
  "cell": [[3.6896, 0.0000, 0.0000], [0.0000, 4.7711, 0.0000], [0.0000, 0.0000, 9.5524]],
  "species": ["Y", "Y", "Cd", "Cd", "Cd", "Cd", "Re", "Re"],
  "frac_coords": [[0.0000, 0.0000, 0.0000], [0.5000, 0.5000, 0.0000], [0.0000, 0.0000, 0.4590], [0.0000, 0.5000, 0.7175], [0.5000, 0.0000, 0.7175], [0.5000, 0.5000, 0.4590], [0.0000, 0.5000, 0.2282], [0.5000, 0.0000, 0.2282]],
  "formation_enthalpy_0k_ev_per_atom": 0.332,
  "relative_energy_ev_per_fu": 0.37,
  "space_group": "Cmm2 (35)"
}